# 1
Material: V3TcTe
Method: DFT, PBE-GGA
State: relaxed

Cell lengths 4.621, 4.621, 4.621 Å; angles 90.00, 90.00, 90.00 degrees
Element x y z (fractional)
V  0.000  0.000  0.500
V  0.000  0.500  0.000
V  0.500  0.000  0.000
Tc  0.000  0.000  0.000
Te  0.500  0.500  0.500

Results
Its symmetry is No. 221. The density of states at the Fermi level comes out at 1.9273 states/eV per atom. The energy relative to the lowest polymorph listed for this composition comes out at 0.000 eV per atom. The value obtained for the magnetization is 2.92 μB per formula unit. Its uncorrected formation energy is 0.92 eV per atom. For the mass density, the calculation gives 6.37 g/cm3.

---

# 2
Material: VTcTe2
Method: DFT, PBE-GGA
State: relaxed

Cell lengths 9.093, 9.093, 9.093 Å; angles 20.80, 20.80, 20.80 degrees
Element x y z (fractional)
V  0.000  0.000  0.000
Tc  0.500  0.500  0.500
Te  0.403  0.403  0.403
Te  0.597  0.597  0.597

Results
Its symmetry is No. 166. The density of states at the Fermi level comes out at 1.0933 states/eV per atom. The energy relative to the lowest polymorph listed for this composition comes out at 0.219 eV per atom. The value obtained for the magnetization is 0.98 μB per formula unit. Its uncorrected formation energy is 0.46 eV per atom. For the mass density, the calculation gives 8.08 g/cm3.

---

# 3
Material: VTcTe
Method: DFT, PBE-GGA
State: relaxed

Cell lengths 4.691, 4.691, 10.275 Å; angles 94.25, 94.25, 39.35 degrees
Element x y z (fractional)
V  0.196  0.196  0.085
V  0.804  0.804  0.915
Tc  0.058  0.058  0.871
Tc  0.942  0.942  0.129
Te  0.360  0.360  0.325
Te  0.640  0.640  0.675

Results
Its symmetry is No. 12. The density of states at the Fermi level comes out at 0.4195 states/eV per atom. The value obtained for the magnetization is 0.00 μB per formula unit. Its uncorrected formation energy is 0.18 eV per atom. For the mass density, the calculation gives 6.43 g/cm3.

---

Q: Among the records above, which one has the lowest mass density?
A: V3TcTe

---

Q: Look up the uncorrected formation energy of the first one.
A: 0.92 eV per atom